# 1
{"formula": "Ac3La12Ag", "functional": "PBE", "state": "optimized geometry", "lattice_angstrom": [[5.306, 0.000, 0.000], [0.000, 5.306, 0.000], [0.000, 0.000, 20.765]], "species": ["Ac", "Ac", "Ac", "La", "La", "La", "La", "La", "La", "La", "La", "La", "La", "La", "La", "Ag"], "frac_coords": [[0.000, 0.000, 0.000], [0.000, 0.000, 0.260], [0.000, 0.000, 0.740], [0.000, 0.500, 0.129], [0.000, 0.500, 0.386], [0.000, 0.500, 0.614], [0.000, 0.500, 0.871], [0.500, 0.000, 0.129], [0.500, 0.000, 0.386], [0.500, 0.000, 0.614], [0.500, 0.000, 0.871], [0.500, 0.500, 0.000], [0.500, 0.500, 0.262], [0.500, 0.500, 0.500], [0.500, 0.500, 0.738], [0.000, 0.000, 0.500]], "e_form_mev_per_atom": 13, "m_tot_mub_per_fu": 0.0}


# 2
{"formula": "Er5Pd2Pb", "functional": "PBE", "state": "optimized geometry", "lattice_angstrom": [[-3.898, 3.898, 6.732], [3.898, -3.898, 6.732], [3.898, 3.898, -6.732]], "species": ["Er", "Er", "Er", "Er", "Er", "Er", "Er", "Er", "Er", "Er", "Pd", "Pd", "Pd", "Pd", "Pb", "Pb"], "frac_coords": [[0.000, 0.000, 0.000], [0.016, 0.516, 0.812], [0.204, 0.016, 0.500], [0.296, 0.796, 0.812], [0.484, 0.296, 0.500], [0.500, 0.500, 0.000], [0.516, 0.704, 0.500], [0.704, 0.204, 0.188], [0.796, 0.984, 0.500], [0.984, 0.484, 0.188], [0.136, 0.364, 0.500], [0.364, 0.864, 0.229], [0.636, 0.136, 0.771], [0.864, 0.636, 0.500], [0.250, 0.250, 0.000], [0.750, 0.750, 0.000]], "e_form_mev_per_atom": -641, "m_tot_mub_per_fu": 0.0}


# 3
{"formula": "CrCdH3", "functional": "PBE", "state": "optimized geometry", "lattice_angstrom": [[3.887, 0.000, 0.000], [0.000, 3.887, 0.000], [0.000, 0.000, 3.887]], "species": ["Cr", "Cd", "H", "H", "H"], "frac_coords": [[0.000, 0.000, 0.000], [0.500, 0.500, 0.500], [0.000, 0.500, 0.500], [0.500, 0.000, 0.500], [0.500, 0.500, 0.000]], "e_above_lowest_polymorph_mev_per_atom": 554, "m_tot_mub_per_fu": 4.9}


# 4
{"formula": "MnSi2Sb", "functional": "PBE", "state": "optimized geometry", "lattice_angstrom": [[2.669, -3.768, 0.000], [2.669, 3.768, 0.000], [0.000, 0.000, 3.580]], "species": ["Mn", "Si", "Si", "Sb"], "frac_coords": [[0.000, 0.000, 0.000], [0.000, 0.500, 0.500], [0.500, 0.000, 0.500], [0.500, 0.500, 0.000]], "m_tot_mub_per_fu": 3.4, "raw_formation_energy_ev_per_atom": 0.490}